Record 1
DFT (PBE-GGA) results for a geometry-optimized RbAlGa2 structure.

a = 9.4866 Å, b = 9.4866 Å, c = 9.4866 Å
α = 146.14°, β = 146.14°, γ = 48.64°
Fractional positions:
Rb 0.3750 0.6250 0.7500
Rb 0.6250 0.3750 0.2500
Al 0.1250 0.8750 0.2500
Al 0.8750 0.1250 0.7500
Ga 0.0000 0.0000 0.0000
Ga 0.0000 0.0000 0.5000
Ga 0.0000 0.5000 0.0000
Ga 0.5000 0.0000 0.5000

Total magnetization in Bohr magnetons per cell: 0.00
Uncorrected energy in eV/cell: -20.5
SG: I4_1/amd (141)



Record 2
DFT (PBE-GGA) results for a geometry-optimized RbAl3Ga structure.

a = 5.2331 Å, b = 5.2331 Å, c = 5.2331 Å
α = 90.00°, β = 90.00°, γ = 90.00°
Fractional positions:
Rb 0.0000 0.0000 0.0000
Al 0.0000 0.5000 0.5000
Al 0.5000 0.0000 0.5000
Al 0.5000 0.5000 0.0000
Ga 0.5000 0.5000 0.5000

Total magnetization in Bohr magnetons per cell: 0.00
Uncorrected energy in eV/cell: -12.7
SG: Pm-3m (221)



Record 3
DFT (PBE-GGA) results for a geometry-optimized RbAlGa2 structure.

a = 3.5033 Å, b = 3.5033 Å, c = 8.2200 Å
α = 90.00°, β = 90.00°, γ = 90.00°
Fractional positions:
Rb 0.0000 0.0000 0.0000
Al 0.0000 0.0000 0.5000
Ga 0.5000 0.5000 0.3275
Ga 0.5000 0.5000 0.6725

Total magnetization in Bohr magnetons per cell: 0.00
Uncorrected energy in eV/cell: -10.5
SG: P4/mmm (123)



Record 4
DFT (PBE-GGA) results for a geometry-optimized Rb4AlGa5 structure.

a = 8.4134 Å, b = 8.4134 Å, c = 10.4238 Å
α = 128.02°, β = 128.02°, γ = 44.98°
Fractional positions:
Rb 0.1318 0.1318 0.4320
Rb 0.2881 0.3060 0.2017
Rb 0.6940 0.7119 0.7983
Rb 0.8682 0.8682 0.5680
Al 0.7889 0.2111 0.0000
Ga 0.1885 0.8115 0.0000
Ga 0.3475 0.3753 0.9058
Ga 0.4523 0.4514 0.7534
Ga 0.5486 0.5477 0.2466
Ga 0.6247 0.6525 0.0942

Total magnetization in Bohr magnetons per cell: 0.00
Uncorrected energy in eV/cell: -23.5
SG: C2 (5)



Record 5
DFT (PBE-GGA) results for a geometry-optimized RbAlGa4 structure.

a = 8.5994 Å, b = 16.6248 Å, c = 3.9118 Å
α = 90.00°, β = 90.00°, γ = 90.00°
Fractional positions:
Rb 0.1262 0.1502 0.0000
Rb 0.3738 0.6502 0.0000
Rb 0.6262 0.3498 0.0000
Rb 0.8738 0.8498 0.0000
Al 0.1330 0.4136 0.0000
Al 0.3670 0.9136 0.0000
Al 0.6330 0.0864 0.0000
Al 0.8670 0.5864 0.0000
Ga 0.0200 0.6903 0.5000
Ga 0.1127 0.5467 0.5000
Ga 0.1397 0.9658 0.5000
Ga 0.2165 0.8140 0.5000
Ga 0.2835 0.3140 0.5000
Ga 0.3603 0.4658 0.5000
Ga 0.3873 0.0467 0.5000
Ga 0.4800 0.1903 0.5000
Ga 0.5200 0.8097 0.5000
Ga 0.6127 0.9533 0.5000
Ga 0.6397 0.5342 0.5000
Ga 0.7165 0.6860 0.5000
Ga 0.7835 0.1860 0.5000
Ga 0.8603 0.0342 0.5000
Ga 0.8873 0.4533 0.5000
Ga 0.9800 0.3097 0.5000

Total magnetization in Bohr magnetons per cell: 0.00
Uncorrected energy in eV/cell: -68.1
SG: Pbam (55)



Record 6
DFT (PBE-GGA) results for a geometry-optimized RbAlGa2 structure.

a = 7.3755 Å, b = 7.3755 Å, c = 7.3755 Å
α = 34.75°, β = 34.75°, γ = 34.75°
Fractional positions:
Rb 0.0000 0.0000 0.0000
Al 0.5000 0.5000 0.5000
Ga 0.2082 0.2082 0.2082
Ga 0.7918 0.7918 0.7918

Total magnetization in Bohr magnetons per cell: 0.00
Uncorrected energy in eV/cell: -10.8
SG: R-3m (166)



Record 7
DFT (PBE-GGA) results for a geometry-optimized RbAl2Ga6 structure.

a = 7.7180 Å, b = 7.7180 Å, c = 4.1335 Å
α = 103.99°, β = 103.99°, γ = 64.92°
Fractional positions:
Rb 0.0000 0.0000 0.0000
Al 0.3880 0.3880 0.8852
Al 0.6120 0.6120 0.1148
Ga 0.1192 0.4596 0.2872
Ga 0.3359 0.6641 0.5000
Ga 0.4596 0.1192 0.2872
Ga 0.5404 0.8808 0.7128
Ga 0.6641 0.3359 0.5000
Ga 0.8808 0.5404 0.7128

Total magnetization in Bohr magnetons per cell: 0.00
Uncorrected energy in eV/cell: -26.6
SG: C2/m (12)



Record 8
DFT (PBE-GGA) results for a geometry-optimized RbAlGa3 structure.

a = 5.1951 Å, b = 5.1951 Å, c = 5.1951 Å
α = 90.00°, β = 90.00°, γ = 90.00°
Fractional positions:
Rb 0.0000 0.0000 0.0000
Al 0.5000 0.5000 0.5000
Ga 0.0000 0.5000 0.5000
Ga 0.5000 0.0000 0.5000
Ga 0.5000 0.5000 0.0000

Total magnetization in Bohr magnetons per cell: 0.00
Uncorrected energy in eV/cell: -12.8
SG: Pm-3m (221)